(1)
TcTeF2 | GGA-PBE | relaxed

Summary:
* VASP energy: -4.92 eV per atom
* size of the total moment: 0.0000 μB/atom
* density of states at the Fermi level: 0.86 states/eV per atom
* formation energy from raw total energies: -2.44 eV per formula unit

Cell and atoms, written as CIF:
```
data_TcTeF2
_chemical_formula_sum 'Tc4 Te4 F8'
_cell_length_a 7.703
_cell_length_b 7.703
_cell_length_c 5.132
_cell_angle_alpha 90.00
_cell_angle_beta 90.00
_cell_angle_gamma 90.00
_space_group_name_H-M_alt 'I -4 2 d'
_space_group_IT_number 122
_space_group_name_Hall 'I -4 2bw'
loop_
_atom_site_label
_atom_site_fract_x
_atom_site_fract_y
_atom_site_fract_z
_atom_site_occupancy
Tc1 0.000 0.000 0.000 1
Te1 0.000 0.000 0.500 1
F1 0.097 0.250 0.125 1
```

---

(2)
Sr2DyThAs4 | GGA-PBE | relaxed

Summary:
* VASP energy: -5.52 eV per atom
* energy of formation: -1.27 eV per atom
* size of the total moment: 0.0000 μB/atom
* density of states at the Fermi level: 0.87 states/eV per atom

Cell and atoms, written as CIF:
```
data_Sr2DyThAs4
_chemical_formula_sum 'Sr2 Dy1 Th1 As4'
_cell_length_a 7.443
_cell_length_b 4.328
_cell_length_c 7.624
_cell_angle_alpha 90.00
_cell_angle_beta 109.17
_cell_angle_gamma 90.00
_space_group_name_H-M_alt 'P 1 2/m 1'
_space_group_IT_number 10
_space_group_name_Hall '-P 2y'
loop_
_atom_site_label
_atom_site_fract_x
_atom_site_fract_y
_atom_site_fract_z
_atom_site_occupancy
Sr1 0.000 0.000 0.000 1
Sr2 0.500 0.500 0.000 1
Dy1 0.000 0.500 0.500 1
Th1 0.500 0.000 0.500 1
As1 0.238 0.000 0.724 1
As2 0.255 0.500 0.274 1
```

---

(3)
Co2TcCl | GGA-PBE | relaxed

Summary:
* VASP energy: -5.63 eV per atom
* size of the total moment: 0.0003 μB/atom
* density of states at the Fermi level: 1.57 states/eV per atom
* formation energy from raw total energies: 3.89 eV per formula unit

Cell and atoms, written as CIF:
```
data_Co2TcCl
_chemical_formula_sum 'Co4 Tc2 Cl2'
_cell_length_a 3.756
_cell_length_b 3.756
_cell_length_c 7.309
_cell_angle_alpha 90.00
_cell_angle_beta 90.00
_cell_angle_gamma 90.00
_space_group_name_H-M_alt 'I 4/m m m'
_space_group_IT_number 139
_space_group_name_Hall '-I 4 2'
loop_
_atom_site_label
_atom_site_fract_x
_atom_site_fract_y
_atom_site_fract_z
_atom_site_occupancy
Co1 0.000 0.500 0.250 1
Tc1 0.000 0.000 0.000 1
Cl1 0.000 0.000 0.500 1
```

---

(4)
ZrBH2 | GGA-PBE | relaxed

Summary:
* VASP energy: -5.30 eV per atom
* size of the total moment: 0.0000 μB/atom
* density of states at the Fermi level: 0.48 states/eV per atom

Cell and atoms, written as CIF:
```
data_ZrBH2
_chemical_formula_sum 'Zr4 B4 H8'
_cell_length_a 3.517
_cell_length_b 3.517
_cell_length_c 10.836
_cell_angle_alpha 90.00
_cell_angle_beta 90.00
_cell_angle_gamma 90.00
_space_group_name_H-M_alt 'I -4 2 d'
_space_group_IT_number 122
_space_group_name_Hall 'I -4 2bw'
loop_
_atom_site_label
_atom_site_fract_x
_atom_site_fract_y
_atom_site_fract_z
_atom_site_occupancy
Zr1 0.000 0.000 0.000 1
B1 0.000 0.000 0.500 1
H1 0.004 0.250 0.625 1
```

---

(5)
NdBIrRh | GGA-PBE | relaxed

Summary:
* VASP energy: -7.31 eV per atom
* energy of formation: -0.40 eV per atom
* size of the total moment: 0.0000 μB/atom
* density of states at the Fermi level: 0.89 states/eV per atom

Cell and atoms, written as CIF:
```
data_NdBIrRh
_chemical_formula_sum 'Nd2 B2 Ir2 Rh2'
_cell_length_a 3.716
_cell_length_b 3.969
_cell_length_c 9.232
_cell_angle_alpha 90.00
_cell_angle_beta 90.00
_cell_angle_gamma 90.00
_space_group_name_H-M_alt 'I m m 2'
_space_group_IT_number 44
_space_group_name_Hall 'I 2 -2'
loop_
_atom_site_label
_atom_site_fract_x
_atom_site_fract_y
_atom_site_fract_z
_atom_site_occupancy
Nd1 0.000 0.000 0.000 1
B1 0.000 0.500 0.249 1
Ir1 0.000 0.000 0.646 1
Rh1 0.000 0.000 0.348 1
```

---

(6)
CsBr4 | GGA-PBE | relaxed

Summary:
* VASP energy: -2.14 eV per atom
* size of the total moment: 0.2013 μB/atom
* formation energy from raw total energies: -3.15 eV per formula unit

Cell and atoms, written as CIF:
```
data_CsBr4
_chemical_formula_sum 'Cs2 Br8'
_cell_length_a 7.692
_cell_length_b 8.403
_cell_length_c 8.642
_cell_angle_alpha 69.10
_cell_angle_beta 65.01
_cell_angle_gamma 62.89
_space_group_name_H-M_alt 'P 1'
_space_group_IT_number 1
_space_group_name_Hall 'P 1'
loop_
_atom_site_label
_atom_site_fract_x
_atom_site_fract_y
_atom_site_fract_z
_atom_site_occupancy
Cs1 0.000 0.000 0.000 1
Cs2 0.415 0.505 0.502 1
Br1 0.027 0.472 0.954 1
Br2 0.215 0.151 0.505 1
Br3 0.473 0.300 0.952 1
Br4 0.514 0.968 0.979 1
Br5 0.545 0.644 0.005 1
Br6 0.690 0.808 0.448 1
Br7 0.950 0.478 0.477 1
Br8 0.963 0.977 0.460 1
```

---

(7)
ScTlMo2 | GGA-PBE | relaxed

Summary:
* VASP energy: -7.53 eV per atom
* energy of formation: 0.06 eV per atom
* size of the total moment: 0.0000 μB/atom
* density of states at the Fermi level: 0.30 states/eV per atom

Cell and atoms, written as CIF:
```
data_ScTlMo2
_chemical_formula_sum 'Sc1 Tl1 Mo2'
_cell_length_a 3.278
_cell_length_b 3.278
_cell_length_c 7.055
_cell_angle_alpha 90.00
_cell_angle_beta 90.00
_cell_angle_gamma 90.00
_space_group_name_H-M_alt 'P 4 m m'
_space_group_IT_number 99
_space_group_name_Hall 'P 4 -2'
loop_
_atom_site_label
_atom_site_fract_x
_atom_site_fract_y
_atom_site_fract_z
_atom_site_occupancy
Sc1 0.000 0.000 0.000 1
Tl1 0.500 0.500 0.295 1
Mo1 0.000 0.000 0.568 1
Mo2 0.500 0.500 0.761 1
```

---

(8)
Ce2UPaC4 | GGA-PBE | relaxed

Summary:
* VASP energy: -8.93 eV per atom
* energy of formation: -0.23 eV per atom
* size of the total moment: 0.0457 μB/atom
* density of states at the Fermi level: 1.25 states/eV per atom

Cell and atoms, written as CIF:
```
data_Ce2UPaC4
_chemical_formula_sum 'Ce2 U1 Pa1 C4'
_cell_length_a 6.250
_cell_length_b 3.605
_cell_length_c 6.255
_cell_angle_alpha 90.00
_cell_angle_beta 109.70
_cell_angle_gamma 90.00
_space_group_name_H-M_alt 'P 1 2/m 1'
_space_group_IT_number 10
_space_group_name_Hall '-P 2y'
loop_
_atom_site_label
_atom_site_fract_x
_atom_site_fract_y
_atom_site_fract_z
_atom_site_occupancy
Ce1 0.000 0.000 0.000 1
Ce2 0.000 0.500 0.500 1
U1 0.500 0.000 0.500 1
Pa1 0.500 0.500 0.000 1
C1 0.281 0.000 0.750 1
C2 0.288 0.500 0.274 1
```

---

- Which of these has the highest VASP energy?
  CsBr4

---

- VASP energy of number 7 (ScTlMo2)?
  -7.53 eV per atom